The following is a DFT calculation (PBE-GGA) of Sm4PS2Cl after structural relaxation.

Results
As for the uncorrected formation energy: -1.79 eV/atom. As for the total magnetic moment: 0.000 μB/cell. As for the crystal system: monoclinic.

a b c (Å): 6.9933 4.0590 7.0636
angles (deg): 90.00 109.50 90.00
Closest atoms and distances in Å follow each position.
Space group P2/m (No. 10)
Symmetry-distinct sites (fractional):
Sm: 0.2284 0.0000 0.2222 x2  3 S 2.73-2.91, 1 P 2.84, 2 Cl 3.01
Sm: 0.2441 0.5000 0.7685 x2  3 S 2.73-2.91, 2 P 2.84, 1 Cl 3.01
P: 0.5000 0.0000 0.0000 x1  6 Sm 2.84
S: 0.0000 0.0000 0.5000 x1  6 Sm 2.91
S: 0.0000 0.5000 0.0000 x1  6 Sm 2.73
Cl: 0.5000 0.5000 0.5000 x1  6 Sm 3.01

***

The following is a DFT calculation (PBE-GGA) of SnPS2Cl after structural relaxation.

Results
As for the uncorrected formation energy: 0.89 eV/atom. The calculation puts the energy above the lowest structure with this stoichiometry at 0.896 eV/atom. As for the total magnetic moment: 0.000 μB/cell. As for the crystal system: tetragonal.

a b c (Å): 4.9715 4.9715 4.4678
angles (deg): 90.00 90.00 90.00
Closest atoms and distances in Å follow each position.
Space group P4/mmm (No. 123)
Symmetry-distinct sites (fractional):
Sn: 0.0000 0.0000 0.0000 x1  8 S 3.34, 4 P 3.52
P: 0.5000 0.5000 0.0000 x1  2 Cl 2.23
S: 0.0000 0.5000 0.5000 x2  2 Cl 2.49
Cl: 0.5000 0.5000 0.5000 x1  2 P 2.23, 4 S 2.49

***

The following is a DFT calculation (PBE-GGA) of SnPSCl2 after structural relaxation.

Results
As for the uncorrected formation energy: 0.48 eV/atom. The calculation puts the energy above the lowest structure with this stoichiometry at 0.524 eV/atom. As for the total magnetic moment: 2.102 μB/cell. As for the crystal system: tetragonal.

a b c (Å): 5.0831 5.0831 5.4385
angles (deg): 90.00 90.00 90.00
Closest atoms and distances in Å follow each position.
Space group P4/mmm (No. 123)
Symmetry-distinct sites (fractional):
Sn: 0.0000 0.0000 0.0000 x1  4 Cl 2.54, 2 P 2.72
P: 0.0000 0.0000 0.5000 x1  2 Sn 2.72
S: 0.5000 0.5000 0.5000 x1  4 P 3.59, 8 Cl 3.72
Cl: 0.0000 0.5000 0.0000 x2  2 Sn 2.54

***

The following is a DFT calculation (PBE-GGA) of SnPS2Cl after structural relaxation.

Results
As for the uncorrected formation energy: -0.01 eV/atom. The calculation puts the energy above the lowest structure with this stoichiometry at 0.000 eV/atom. As for the total magnetic moment: 0.000 μB/cell. As for the crystal system: tetragonal.

a b c (Å): 4.7022 4.7022 4.7063
angles (deg): 90.00 90.00 90.00
Closest atoms and distances in Å follow each position.
Space group P4/mmm (No. 123)
Symmetry-distinct sites (fractional):
Sn: 0.0000 0.0000 0.0000 x1  4 Cl 3.32, 8 S 3.33
P: 0.5000 0.5000 0.5000 x1  4 S 2.35, 2 Cl 2.35
S: 0.0000 0.5000 0.5000 x2  2 P 2.35
Cl: 0.5000 0.5000 0.0000 x1  2 P 2.35

***

The following is a DFT calculation (PBE-GGA) of SnPSCl2 after structural relaxation.

Results
As for the uncorrected formation energy: -0.05 eV/atom. The calculation puts the energy above the lowest structure with this stoichiometry at 0.000 eV/atom. As for the total magnetic moment: 0.000 μB/cell. As for the crystal system: tetragonal.

a b c (Å): 4.7556 4.7556 4.9520
angles (deg): 90.00 90.00 90.00
Closest atoms and distances in Å follow each position.
Space group P4/mmm (No. 123)
Symmetry-distinct sites (fractional):
Sn: 0.0000 0.0000 0.0000 x1  4 S 3.36, 8 Cl 3.43
P: 0.5000 0.5000 0.5000 x1  4 Cl 2.38, 2 S 2.48
S: 0.5000 0.5000 0.0000 x1  2 P 2.48
Cl: 0.0000 0.5000 0.5000 x2  2 P 2.38

***

The following is a DFT calculation (PBE-GGA) of SnPS2Cl after structural relaxation.

Results
As for the uncorrected formation energy: 0.79 eV/atom. The calculation puts the energy above the lowest structure with this stoichiometry at 0.804 eV/atom. As for the total magnetic moment: 0.598 μB/cell. As for the crystal system: tetragonal.

a b c (Å): 4.9014 4.9014 5.4922
angles (deg): 90.00 90.00 90.00
Closest atoms and distances in Å follow each position.
Space group P4/mmm (No. 123)
Symmetry-distinct sites (fractional):
Sn: 0.0000 0.0000 0.0000 x1  4 S 2.45
P: 0.0000 0.0000 0.5000 x1  2 Sn 2.75
S: 0.0000 0.5000 0.0000 x2  2 Sn 2.45
Cl: 0.5000 0.5000 0.5000 x1  4 P 3.47, 8 S 3.68

***

The following is a DFT calculation (PBE-GGA) of SnPSCl2 after structural relaxation.

Results
As for the uncorrected formation energy: 0.32 eV/atom. The calculation puts the energy above the lowest structure with this stoichiometry at 0.363 eV/atom. As for the total magnetic moment: 0.000 μB/cell. As for the crystal system: tetragonal.

a b c (Å): 4.8212 4.8212 4.8677
angles (deg): 90.00 90.00 90.00
Closest atoms and distances in Å follow each position.
Space group P4/mmm (No. 123)
Symmetry-distinct sites (fractional):
Sn: 0.0000 0.0000 0.0000 x1  4 P 3.41, 8 Cl 3.43
P: 0.5000 0.5000 0.0000 x1  2 S 2.43
S: 0.5000 0.5000 0.5000 x1  4 Cl 2.41, 2 P 2.43
Cl: 0.0000 0.5000 0.5000 x2  2 S 2.41

***

The following is a DFT calculation (PBE-GGA) of SrPSCl2 after structural relaxation.

Results
As for the uncorrected formation energy: -0.45 eV/atom. The calculation puts the energy above the lowest structure with this stoichiometry at 0.437 eV/atom. As for the total magnetic moment: 0.000 μB/cell. As for the crystal system: tetragonal.

a b c (Å): 5.1448 5.1448 4.6454
angles (deg): 90.00 90.00 90.00
Closest atoms and distances in Å follow each position.
Space group P4/mmm (No. 123)
Symmetry-distinct sites (fractional):
Sr: 0.0000 0.0000 0.0000 x1  8 Cl 3.47, 4 P 3.64
P: 0.5000 0.5000 0.0000 x1  2 S 2.32
S: 0.5000 0.5000 0.5000 x1  2 P 2.32, 4 Cl 2.57
Cl: 0.0000 0.5000 0.5000 x2  2 S 2.57

***

The following is a DFT calculation (PBE-GGA) of Sr8P3SCl4 after structural relaxation.

Results
As for the uncorrected formation energy: -1.74 eV/atom. As for the total magnetic moment: 0.000 μB/cell. As for the crystal system: trigonal.

a b c (Å): 8.7837 8.7837 21.3570
angles (deg): 90.00 90.00 120.00
Closest atoms and distances in Å follow each position.
Space group R-3m (No. 166, hexagonal axes)
Symmetry-distinct sites (fractional):
Sr: 0.0000 0.0000 0.2406 x6  3 P 2.99, 3 Cl 3.22
Sr: 0.0047 0.5024 0.7596 x18  2 P 2.97, 1 S 3.02, 3 Cl 3.19-3.23
P: 0.0000 0.5000 0.5000 x9  6 Sr 2.97-2.99
S: 0.0000 0.0000 0.5000 x3  6 Sr 3.02
Cl: 0.0000 0.0000 0.0000 x3  6 Sr 3.19
Cl: 0.0000 0.5000 0.0000 x9  6 Sr 3.22-3.23

***

The following is a DFT calculation (PBE-GGA) of Sr6P2SCl3 after structural relaxation.

Results
As for the uncorrected formation energy: -1.76 eV/atom. As for the total magnetic moment: 0.000 μB/cell. As for the crystal system: monoclinic.

a b c (Å): 7.5871 13.1423 7.5355
angles (deg): 90.00 109.58 90.00
Closest atoms and distances in Å follow each position.
Space group C2/m (No. 12)
Symmetry-distinct sites (fractional):
Sr: 0.2367 0.0000 0.2218 x4  2 P 2.97, 1 S 3.00, 3 Cl 3.19-3.20
Sr: 0.2429 0.3315 0.2230 x8  2 P 2.97, 1 S 3.01, 3 Cl 3.21-3.22
P: 0.0000 0.1670 0.0000 x4  6 Sr 2.97
S: 0.0000 0.5000 0.0000 x2  6 Sr 3.00-3.01
Cl: 0.0000 0.0000 0.5000 x2  6 Sr 3.19-3.22
Cl: 0.0000 0.3360 0.5000 x4  6 Sr 3.20-3.21

***

The following is a DFT calculation (PBE-GGA) of SrPSCl2 after structural relaxation.

Results
As for the uncorrected formation energy: 0.04 eV/atom. The calculation puts the energy above the lowest structure with this stoichiometry at 0.926 eV/atom. As for the total magnetic moment: 1.834 μB/cell. As for the crystal system: tetragonal.

a b c (Å): 5.3671 5.3671 6.5884
angles (deg): 90.00 90.00 90.00
Closest atoms and distances in Å follow each position.
Space group P4/mmm (No. 123)
Symmetry-distinct sites (fractional):
Sr: 0.0000 0.0000 0.0000 x1  4 Cl 2.68
P: 0.0000 0.0000 0.5000 x1  2 Sr 3.29
S: 0.5000 0.5000 0.5000 x1  4 P 3.80, 8 Cl 4.25
Cl: 0.0000 0.5000 0.0000 x2  2 Sr 2.68